VASP calculation (PBE+U) on crystalline NbNiNO2 at its relaxed geometry.

Summary:
The value obtained for the total magnetic moment is 0.440 μB/f.u. The total DFT energy (no corrections) comes out at -6.301 eV per atom.

Cell: 3.6275 3.6275 3.7762 Å, 90.00 90.00 90.00°
Last column: nearest neighbours and their distance in Å.
Atoms (fractional coordinates):
Nb 0.0000 0.0000 0.0000  4 N 2.57, 8 O 2.62
Ni 0.5000 0.5000 0.5000  4 O 1.81, 2 N 1.89
N 0.5000 0.5000 0.0000  2 Ni 1.89
O 0.0000 0.5000 0.5000  2 Ni 1.81
O 0.5000 0.0000 0.5000  2 Ni 1.81